[1]
Entry from Alexandria: a relaxed structure of YHRh3 (PBE).

Computed properties:
Crystal system: monoclinic
Final energy in eV per atom: -6.734
Size of the total moment in μB per cell: 0.00
Symmetry: C2/m
Energy above the lowest structure with this stoichiometry in meV per atom: 134

a = 19.2199 Å, b = 9.1580 Å, c = 9.1580 Å
α = 154.90°, β = 162.80°, γ = 17.20°
Last column: nearest neighbours and their distance in Å.
Atoms (fractional coordinates):
1 Y 0.6742 0.9018 0.0982  10 Rh 2.84-3.16, 2 H 3.16
2 Y 0.3258 0.0982 0.9018  10 Rh 2.84-3.16, 2 H 3.16
3 H 0.9715 0.8580 0.1420  4 Rh 1.85-2.05
4 H 0.0285 0.1420 0.8580  4 Rh 1.85-2.05
5 Rh 0.1874 0.8777 0.1223  1 H 1.85
6 Rh 0.8126 0.1223 0.8777  1 H 1.85
7 Rh 0.9450 0.3580 0.6420  2 H 2.05
8 Rh 0.0550 0.6420 0.3580  2 H 2.05
9 Rh 0.5545 0.6394 0.3606  1 H 1.87
10 Rh 0.4455 0.3606 0.6394  1 H 1.87

[2]
Entry from Alexandria: a relaxed structure of CrAsAu2 (PBE).

Computed properties:
E_form in meV/atom: 240
Crystal system: tetragonal
Final energy in eV per atom: -4.966
Size of the total moment in μB per cell: 7.22
Symmetry: I-42d

a = 7.5381 Å, b = 7.5381 Å, c = 5.9600 Å
α = 50.77°, β = 50.77°, γ = 90.00°
Last column: nearest neighbours and their distance in Å.
Atoms (fractional coordinates):
1 Cr 0.5000 0.5000 0.0000  2 As 2.67, 4 Au 2.83
2 Cr 0.2500 0.7500 0.5000  2 As 2.67, 4 Au 2.83
3 As 0.0000 0.0000 0.0000  4 Au 2.66, 2 Cr 2.67
4 As 0.7500 0.2500 0.5000  4 Au 2.66, 2 Cr 2.67
5 Au 0.6417 0.1250 0.2500  2 As 2.66, 2 Au 2.68, 2 Cr 2.83
6 Au 0.1083 0.6250 0.2500  2 As 2.66, 2 Au 2.68, 2 Cr 2.83
7 Au 0.3750 0.3583 0.7500  2 As 2.66, 2 Au 2.68, 2 Cr 2.83
8 Au 0.8750 0.8917 0.7500  2 As 2.66, 2 Au 2.68, 2 Cr 2.83

[3]
Entry from Alexandria: a relaxed structure of Ta2InAg (PBE).

Computed properties:
E_form in meV/atom: 361
Crystal system: tetragonal
Final energy in eV per atom: -6.962
Size of the total moment in μB per cell: 0.00
Symmetry: I-4m2

a = 5.2889 Å, b = 5.2889 Å, c = 5.2889 Å
α = 134.03°, β = 134.03°, γ = 67.04°
Last column: nearest neighbours and their distance in Å.
Atoms (fractional coordinates):
1 In 0.7500 0.2500 0.5000  8 Ta 2.92-3.02, 4 Ag 3.02
2 Ag 0.5000 0.5000 0.0000  8 Ta 2.92-3.02, 4 In 3.02
3 Ta 0.0000 0.0000 0.0000  4 Ag 2.92, 4 Ta 3.02, 4 In 3.02
4 Ta 0.2500 0.7500 0.5000  4 In 2.92, 4 Ta 3.02, 4 Ag 3.02

[4]
Entry from Alexandria: a relaxed structure of CaSb2O4 (PBE).

Computed properties:
ΔE_f (raw) in eV/atom: -1.63
Crystal system: orthorhombic
Final energy in eV per atom: -5.926
Size of the total moment in μB per cell: 0.00
Symmetry: Imma
Energy above the lowest structure with this stoichiometry in meV per atom: 167

a = 6.8061 Å, b = 6.8061 Å, c = 6.8061 Å
α = 123.24°, β = 113.37°, γ = 93.16°
Last column: nearest neighbours and their distance in Å.
Atoms (fractional coordinates):
1 Ca 0.0000 0.5000 0.5000  6 O 2.35-2.48
2 Ca 0.5000 0.5000 0.0000  6 O 2.35-2.48
3 Sb 0.1054 0.8554 0.2500  4 O 2.08-2.33
4 Sb 0.8946 0.1446 0.7500  4 O 2.08-2.33
5 Sb 0.5000 0.0000 0.0000  6 O 2.30-2.37
6 Sb 0.5000 0.5000 0.5000  6 O 2.30-2.37
7 O 0.7529 0.2502 0.9973  1 Sb 2.08
8 O 0.7187 0.2504 0.4683  3 Sb 2.30-2.33, 1 Ca 2.35
9 O 0.7529 0.7555 0.5027  1 Sb 2.08
10 O 0.2820 0.2504 0.0317  3 Sb 2.30-2.33, 1 Ca 2.35
11 O 0.7180 0.7496 0.9683  3 Sb 2.30-2.33, 1 Ca 2.35
12 O 0.2813 0.7496 0.5317  3 Sb 2.30-2.33, 1 Ca 2.35
13 O 0.2471 0.2445 0.4973  1 Sb 2.08
14 O 0.2471 0.7498 0.0027  1 Sb 2.08

[5]
Entry from Alexandria: a relaxed structure of LiAcTbS3 (PBE).

Computed properties:
ΔE_f (raw) in eV/atom: -1.87
Crystal system: monoclinic
Final energy in eV per atom: -5.711
Size of the total moment in μB per cell: 0.00
Symmetry: P2_1/m

a = 3.9837 Å, b = 8.3446 Å, c = 8.6925 Å
α = 104.00°, β = 90.00°, γ = 90.00°
Last column: nearest neighbours and their distance in Å.
Atoms (fractional coordinates):
1 Li 0.2500 0.0888 0.5883  4 S 2.38-2.42
2 Li 0.7500 0.9112 0.4117  4 S 2.38-2.42
3 Ac 0.2500 0.1900 0.2271  7 S 3.00-3.13
4 Ac 0.7500 0.8100 0.7729  7 S 3.00-3.13
5 Tb 0.2500 0.6636 0.1586  6 S 2.76-2.83
6 Tb 0.7500 0.3364 0.8414  6 S 2.76-2.83
7 S 0.7500 0.8958 0.1351  1 Li 2.38
8 S 0.2500 0.1042 0.8649  1 Li 2.38
9 S 0.2500 0.7919 0.4913  3 Li 2.40-2.42
10 S 0.7500 0.2081 0.5087  3 Li 2.40-2.42
11 S 0.7500 0.4390 0.1728  3 Tb 2.76-2.80, 2 Ac 3.00
12 S 0.2500 0.5610 0.8272  3 Tb 2.76-2.80, 2 Ac 3.00

[6]
Entry from Alexandria: a relaxed structure of BaZn2Te (PBE).

Computed properties:
ΔE_f (raw) in eV/atom: -0.49
Crystal system: monoclinic
Final energy in eV per atom: -2.395
Size of the total moment in μB per cell: 0.00
Symmetry: Pm

a = 4.3079 Å, b = 4.3084 Å, c = 6.7127 Å
α = 90.05°, β = 90.00°, γ = 90.00°
Last column: nearest neighbours and their distance in Å.
Atoms (fractional coordinates):
1 Ba 0.0000 0.3755 0.5244  4 Te 3.45, 4 Zn 3.55
2 Te 0.5000 0.8759 0.7668  4 Zn 3.12-3.13, 4 Ba 3.45
3 Zn 0.0000 0.8740 0.1043  4 Zn 3.04-3.05, 2 Te 3.13
4 Zn 0.5000 0.3747 0.1045  4 Zn 3.04-3.05, 2 Te 3.12-3.13

[7]
Entry from Alexandria: a relaxed structure of YRe2Pt (PBE).

Computed properties:
E_form in meV/atom: 198
Crystal system: trigonal
Final energy in eV per atom: -9.152
Size of the total moment in μB per cell: 0.00
Symmetry: R3m
Energy above the lowest structure with this stoichiometry in meV per atom: 331

a = 9.7256 Å, b = 9.7256 Å, c = 9.7256 Å
α = 17.14°, β = 17.14°, γ = 17.14°
Last column: nearest neighbours and their distance in Å.
Atoms (fractional coordinates):
1 Pt 0.7449 0.7449 0.7449  3 Re 2.87, 6 Pt 2.90, 3 Y 3.02
2 Re 0.9972 0.9972 0.9972  9 Re 2.65-2.90, 3 Pt 2.87
3 Re 0.2589 0.2589 0.2589  9 Re 2.65-2.90
4 Y 0.4990 0.4990 0.4990  6 Y 2.90, 3 Pt 3.02, 3 Re 3.16

[8]
Entry from Alexandria: a relaxed structure of Ba3Na2Zn2 (PBE).

Computed properties:
E_form in meV/atom: -48
Crystal system: triclinic
Final energy in eV per atom: -1.613
Size of the total moment in μB per cell: 0.00
Symmetry: P-1

a = 4.5306 Å, b = 6.8242 Å, c = 11.0913 Å
α = 74.84°, β = 78.19°, γ = 70.35°
Last column: nearest neighbours and their distance in Å.
Atoms (fractional coordinates):
1 Ba 0.0000 0.0000 0.0000  6 Zn 3.63-3.66
2 Ba 0.6395 0.4481 0.2762  3 Zn 3.37-3.44
3 Ba 0.3605 0.5519 0.7238  3 Zn 3.37-3.44
4 Na 0.1334 0.1600 0.5756  2 Na 3.66-3.68, 5 Ba 3.90-4.08
5 Na 0.8666 0.8400 0.4244  2 Na 3.66-3.68, 5 Ba 3.90-4.08
6 Zn 0.7329 0.5749 0.9587  2 Zn 2.55
7 Zn 0.2671 0.4251 0.0413  2 Zn 2.55

[9]
Entry from Alexandria: a relaxed structure of PrPRuO (PBE).

Computed properties:
ΔE_f (raw) in eV/atom: -1.98
Crystal system: tetragonal
Final energy in eV per atom: -8.082
Size of the total moment in μB per cell: 0.00
Symmetry: P4/nmm

a = 4.0650 Å, b = 4.0650 Å, c = 8.3496 Å
α = 90.00°, β = 90.00°, γ = 90.00°
Last column: nearest neighbours and their distance in Å.
Atoms (fractional coordinates):
1 Pr 0.5000 0.0000 0.6440  4 O 2.36
2 Pr 0.0000 0.5000 0.3560  4 O 2.36
3 P 0.0000 0.5000 0.8614  4 Ru 2.34
4 P 0.5000 0.0000 0.1386  4 Ru 2.34
5 Ru 0.5000 0.5000 0.0000  4 P 2.34
6 Ru 0.0000 0.0000 0.0000  4 P 2.34
7 O 0.0000 0.0000 0.5000  4 Pr 2.36
8 O 0.5000 0.5000 0.5000  4 Pr 2.36

[10]
Entry from Alexandria: a relaxed structure of InGaHg (PBE).

Computed properties:
E_form in meV/atom: 51
Crystal system: tetragonal
Final energy in eV per atom: -1.972
Size of the total moment in μB per cell: 0.00
Symmetry: P4/nmm

a = 4.3445 Å, b = 4.3445 Å, c = 7.7528 Å
α = 90.00°, β = 90.00°, γ = 90.00°
Last column: nearest neighbours and their distance in Å.
Atoms (fractional coordinates):
1 Hg 0.0000 0.5000 0.7766  5 In 3.00-3.11, 4 Ga 3.05
2 Hg 0.5000 0.0000 0.2234  5 In 3.00-3.11, 4 Ga 3.05
3 Ga 0.0000 0.0000 0.5000  4 Hg 3.05, 4 Ga 3.07, 4 In 3.39
4 Ga 0.5000 0.5000 0.5000  4 Hg 3.05, 4 Ga 3.07, 4 In 3.39
5 In 0.0000 0.5000 0.1637  5 Hg 3.00-3.11
6 In 0.5000 0.0000 0.8363  5 Hg 3.00-3.11

[11]
Entry from Alexandria: a relaxed structure of LaDyCl (PBE).

Computed properties:
ΔE_f (raw) in eV/atom: -0.91
Crystal system: trigonal
Final energy in eV per atom: -4.699
Size of the total moment in μB per cell: 0.51
Symmetry: P3m1

a = 3.7167 Å, b = 3.7167 Å, c = 7.4102 Å
α = 90.00°, β = 90.00°, γ = 120.00°
Last column: nearest neighbours and their distance in Å.
Atoms (fractional coordinates):
1 Cl 0.3333 0.6667 0.6461  3 Dy 2.97, 3 La 3.30
2 La 0.0000 0.0000 0.9850  3 Cl 3.30, 3 Dy 3.56
3 Dy 0.6667 0.3333 0.3689  3 Cl 2.97

[12]
Entry from Alexandria: a relaxed structure of Pa2TiAl3 (PBE).

Computed properties:
E_form in meV/atom: -294
Crystal system: monoclinic
Final energy in eV per atom: -6.647
Size of the total moment in μB per cell: 0.00
Symmetry: C2/m
Energy above the lowest structure with this stoichiometry in meV per atom: 4

a = 5.3980 Å, b = 5.3980 Å, c = 5.6192 Å
α = 89.93°, β = 118.68°, γ = 120.12°
Last column: nearest neighbours and their distance in Å.
Atoms (fractional coordinates):
1 Pa 0.7247 0.3614 0.0861  3 Ti 3.14, 9 Al 3.15-3.33, 3 Pa 3.21-3.23
2 Pa 0.2753 0.6386 0.9139  3 Ti 3.14, 9 Al 3.15-3.33, 3 Pa 3.21-3.23
3 Ti 0.0000 0.0000 0.0000  6 Al 2.81, 6 Pa 3.14
4 Al 0.5000 0.5000 0.5000  4 Al 2.69-2.70, 2 Ti 2.81
5 Al 0.0000 0.0000 0.5000  4 Al 2.69-2.70, 2 Ti 2.81
6 Al 0.5000 0.0000 0.5000  4 Al 2.70, 2 Ti 2.81